Model 1:
Li2Zn8Ga | PBE | relaxed

Unit cell a=4.277 b=6.098 c=7.458 alpha=114.07 beta=106.42 gamma=90.00
Positions (direct):
Li (0.191, 0.191, 0.382)
Li (0.809, 0.809, 0.618)
Zn (0.000, 0.207, 0.000)
Zn (0.000, 0.793, 0.000)
Zn (0.168, 0.669, 0.337)
Zn (0.353, 0.069, 0.706)
Zn (0.353, 0.637, 0.706)
Zn (0.647, 0.363, 0.294)
Zn (0.647, 0.931, 0.294)
Zn (0.832, 0.331, 0.663)
Ga (0.500, 0.500, 0.000)

V ... 169 Å³ per cell
N(E_F) ... 2.3 states/eV per cell

***

Model 2:
Li2Zn8Ga | PBE | relaxed

Unit cell a=4.200 b=4.200 c=9.655 alpha=90.00 beta=90.00 gamma=90.00
Positions (direct):
Li (0.000, 0.000, 0.175)
Li (0.000, 0.000, 0.825)
Zn (0.000, 0.500, 0.000)
Zn (0.000, 0.500, 0.345)
Zn (0.000, 0.500, 0.655)
Zn (0.500, 0.000, 0.000)
Zn (0.500, 0.000, 0.345)
Zn (0.500, 0.000, 0.655)
Zn (0.500, 0.500, 0.173)
Zn (0.500, 0.500, 0.827)
Ga (0.000, 0.000, 0.500)

V ... 170 Å³ per cell
N(E_F) ... 2.4 states/eV per cell

***

Going by the energies, model 2 is most stable and the next is 32 meV/atom up.

***

Model 1:
LiZn6Ga12 | PBE | relaxed

Unit cell a=7.328 b=7.328 c=7.328 alpha=105.94 beta=105.94 gamma=105.94
Positions (direct):
Li (0.000, 0.000, 0.000)
Zn (0.149, 0.412, 0.268)
Zn (0.268, 0.149, 0.412)
Zn (0.412, 0.268, 0.149)
Zn (0.588, 0.732, 0.851)
Zn (0.732, 0.851, 0.588)
Zn (0.851, 0.588, 0.732)
Ga (0.091, 0.711, 0.142)
Ga (0.142, 0.091, 0.711)
Ga (0.155, 0.454, 0.642)
Ga (0.289, 0.858, 0.909)
Ga (0.358, 0.845, 0.546)
Ga (0.454, 0.642, 0.155)
Ga (0.546, 0.358, 0.845)
Ga (0.642, 0.155, 0.454)
Ga (0.711, 0.142, 0.091)
Ga (0.845, 0.546, 0.358)
Ga (0.858, 0.909, 0.289)
Ga (0.909, 0.289, 0.858)

V ... 337 Å³ per cell
N(E_F) ... 5.8 states/eV per cell

***

Model 2:
LiZn6Ga12 | PBE | relaxed

Unit cell a=6.996 b=6.996 c=6.996 alpha=85.37 beta=85.37 gamma=85.37
Positions (direct):
Li (0.000, 0.000, 0.000)
Zn (0.092, 0.290, 0.747)
Zn (0.253, 0.908, 0.710)
Zn (0.290, 0.747, 0.092)
Zn (0.710, 0.253, 0.908)
Zn (0.747, 0.092, 0.290)
Zn (0.908, 0.710, 0.253)
Ga (0.004, 0.353, 0.147)
Ga (0.147, 0.004, 0.353)
Ga (0.205, 0.546, 0.455)
Ga (0.353, 0.147, 0.004)
Ga (0.454, 0.545, 0.795)
Ga (0.455, 0.205, 0.546)
Ga (0.545, 0.795, 0.454)
Ga (0.546, 0.455, 0.205)
Ga (0.647, 0.853, 0.996)
Ga (0.795, 0.454, 0.545)
Ga (0.853, 0.996, 0.647)
Ga (0.996, 0.647, 0.853)

V ... 339 Å³ per cell
N(E_F) ... 6.5 states/eV per cell

***

Going by the energies, model 1 is most stable and the next is 38 meV/atom up.

***

Model 1:
Li2Zn2Ga | PBE | relaxed

Unit cell a=4.329 b=4.329 c=5.136 alpha=114.22 beta=114.22 gamma=60.64
Positions (direct):
Li (0.203, 0.203, 0.111)
Li (0.797, 0.797, 0.889)
Zn (0.404, 0.404, 0.714)
Zn (0.596, 0.596, 0.286)
Ga (0.000, 0.000, 0.500)

V ... 74 Å³ per cell
N(E_F) ... 0.9 states/eV per cell

***

Model 2:
Li2Zn2Ga | PBE | relaxed

Unit cell a=7.159 b=7.159 c=7.159 alpha=151.19 beta=151.19 gamma=41.20
Positions (direct):
Li (0.250, 0.750, 0.500)
Li (0.750, 0.250, 0.500)
Zn (0.100, 0.100, 0.000)
Zn (0.900, 0.900, 0.000)
Ga (0.500, 0.500, 0.000)

V ... 85 Å³ per cell
N(E_F) ... 1.9 states/eV per cell

***

Model 3:
Li2Zn2Ga | PBE | relaxed

Unit cell a=6.816 b=6.816 c=3.422 alpha=90.00 beta=90.00 gamma=90.00
Positions (direct):
Li (0.166, 0.334, 0.000)
Li (0.334, 0.834, 0.000)
Li (0.666, 0.166, 0.000)
Li (0.834, 0.666, 0.000)
Zn (0.132, 0.632, 0.500)
Zn (0.368, 0.132, 0.500)
Zn (0.632, 0.868, 0.500)
Zn (0.868, 0.368, 0.500)
Ga (0.000, 0.000, 0.500)
Ga (0.500, 0.500, 0.500)

V ... 159 Å³ per cell
N(E_F) ... 2.8 states/eV per cell

***

Going by the energies, model 1 is most stable and the next is 88 meV/atom up.

***

Model 1:
Li6Zn2Ga | PBE | relaxed

Unit cell a=5.194 b=5.194 c=5.194 alpha=96.64 beta=96.64 gamma=96.64
Positions (direct):
Li (0.000, 0.334, 0.666)
Li (0.000, 0.666, 0.334)
Li (0.334, 0.000, 0.666)
Li (0.334, 0.666, 0.000)
Li (0.666, 0.000, 0.334)
Li (0.666, 0.334, 0.000)
Zn (0.165, 0.165, 0.165)
Zn (0.835, 0.835, 0.835)
Ga (0.500, 0.500, 0.500)

V ... 137 Å³ per cell
N(E_F) ... 3.5 states/eV per cell

***

Model 2:
Li6Zn2Ga | PBE | relaxed

Unit cell a=8.461 b=8.462 c=4.051 alpha=90.00 beta=90.00 gamma=90.00
Positions (direct):
Li (0.018, 0.177, 0.000)
Li (0.177, 0.980, 0.500)
Li (0.182, 0.317, 0.500)
Li (0.318, 0.817, 0.000)
Li (0.323, 0.480, 0.000)
Li (0.482, 0.677, 0.500)
Li (0.518, 0.323, 0.500)
Li (0.677, 0.520, 0.000)
Li (0.682, 0.183, 0.000)
Li (0.818, 0.683, 0.500)
Li (0.823, 0.020, 0.500)
Li (0.982, 0.823, 0.000)
Zn (0.145, 0.644, 0.500)
Zn (0.355, 0.144, 0.000)
Zn (0.645, 0.856, 0.000)
Zn (0.855, 0.356, 0.500)
Ga (0.000, 0.500, 0.000)
Ga (0.500, 0.000, 0.500)

V ... 290 Å³ per cell
N(E_F) ... 5.4 states/eV per cell

***

Going by the energies, model 1 is most stable and the next is 13 meV/atom up.

***

Model 1:
Li4Zn4Ga3 | PBE | relaxed

Unit cell a=2.862 b=4.363 c=14.182 alpha=98.74 beta=90.12 gamma=90.03
Positions (direct):
Li (0.002, 0.316, 0.134)
Li (0.005, 0.948, 0.399)
Li (0.995, 0.052, 0.601)
Li (0.998, 0.684, 0.866)
Zn (0.492, 0.592, 0.683)
Zn (0.494, 0.772, 0.043)
Zn (0.506, 0.228, 0.957)
Zn (0.508, 0.408, 0.317)
Ga (0.495, 0.139, 0.776)
Ga (0.500, 0.500, 0.500)
Ga (0.505, 0.861, 0.224)

V ... 175 Å³ per cell
N(E_F) ... 2.9 states/eV per cell

***

Model 2:
Li4Zn4Ga3 | PBE | relaxed

Unit cell a=8.407 b=8.407 c=8.407 alpha=148.57 beta=142.47 gamma=49.73
Positions (direct):
Li (0.055, 0.812, 0.244)
Li (0.432, 0.188, 0.244)
Li (0.568, 0.812, 0.756)
Li (0.945, 0.188, 0.756)
Zn (0.236, 0.000, 0.236)
Zn (0.337, 0.337, 0.000)
Zn (0.663, 0.663, 0.000)
Zn (0.764, 0.000, 0.764)
Ga (0.101, 0.601, 0.500)
Ga (0.500, 0.500, 0.000)
Ga (0.899, 0.399, 0.500)

V ... 188 Å³ per cell
N(E_F) ... 3.1 states/eV per cell

***

Going by the energies, model 1 is most stable and the next is 186 meV/atom up.

***

Model 1:
Li2Zn5Ga | PBE | relaxed

Unit cell a=5.637 b=11.321 c=3.777 alpha=90.00 beta=90.00 gamma=90.00
Positions (direct):
Li (0.250, 0.123, 0.000)
Li (0.250, 0.623, 0.000)
Li (0.750, 0.377, 0.000)
Li (0.750, 0.877, 0.000)
Zn (0.000, 0.000, 0.500)
Zn (0.001, 0.749, 0.500)
Zn (0.247, 0.874, 0.000)
Zn (0.253, 0.374, 0.000)
Zn (0.499, 0.249, 0.500)
Zn (0.500, 0.500, 0.500)
Zn (0.501, 0.751, 0.500)
Zn (0.747, 0.626, 0.000)
Zn (0.753, 0.126, 0.000)
Zn (0.999, 0.251, 0.500)
Ga (0.000, 0.500, 0.500)
Ga (0.500, 0.000, 0.500)

V ... 241 Å³ per cell
N(E_F) ... 4.7 states/eV per cell

***

Model 2:
Li2Zn5Ga | PBE | relaxed

Unit cell a=5.522 b=5.522 c=5.522 alpha=119.71 beta=119.71 gamma=90.50
Positions (direct):
Li (0.000, 0.500, 0.500)
Li (0.500, 0.000, 0.500)
Zn (0.000, 0.000, 0.000)
Zn (0.000, 0.000, 0.500)
Zn (0.000, 0.500, 0.000)
Zn (0.500, 0.000, 0.000)
Zn (0.500, 0.500, 0.500)
Ga (0.500, 0.500, 0.000)

V ... 120 Å³ per cell
N(E_F) ... 1.8 states/eV per cell

***

Going by the energies, model 2 is most stable and the next is 20 meV/atom up.